A plane-wave DFT calculation with PBE-GGA was carried out for a relaxed NdPuTeO2 crystal.

```
5
Lattice="-2.0091 2.0091 6.4392 2.0091 -2.0091 6.4392 2.0091 2.0091 -6.4392" Properties=species:S:1:pos:R:3 pbc="T T T"
Nd 0.0000 0.0000 0.0000
Pu 0.0000 0.0000 4.0593
Te 0.0000 0.0000 8.4960
O 2.0091 0.0000 5.2251
O 0.0000 2.0091 5.2251
```

Computed properties:
Space group   I4mm

=====

A plane-wave DFT calculation with PBE-GGA was carried out for a relaxed NdPu3Tl2O12 crystal.

```
18
Lattice="4.0886 2.3605 5.2710 -4.0886 2.3605 5.2710 0.0000 -4.7211 5.2710" Properties=species:S:1:pos:R:3 pbc="T T T"
Nd 0.0000 0.0000 0.0000
Pu -4.0886 0.0000 7.9064
Pu -2.0443 1.1803 2.6355
Pu 2.0443 1.1803 2.6355
Tl 0.0000 0.0000 6.1631
Tl 0.0000 0.0000 9.6498
O -2.7002 -1.5589 8.4159
O 0.0000 -2.0411 4.4845
O -1.7676 1.0205 4.4845
O 0.0000 -3.1179 7.3970
O -2.7002 1.5589 7.3970
O -1.7676 -1.0205 11.3284
O 1.7676 1.0205 4.4845
O 2.7001 -1.5589 8.4159
O 0.0000 3.1179 8.4159
O 1.7676 -1.0205 11.3284
O 0.0000 2.0411 11.3284
O 2.7001 1.5589 7.3970
```

Computed properties:
Space group   R-3m

=====

A plane-wave DFT calculation with PBE-GGA was carried out for a relaxed NdPuTl2O8 crystal.

```
12
Lattice="5.2658 0.0000 0.0000 0.0000 6.9391 0.0000 -0.1970 0.0000 5.2645" Properties=species:S:1:pos:R:3 pbc="T T T"
Nd 0.0000 0.0000 0.0000
Pu 0.0000 3.4696 0.0000
Tl 2.5344 1.7426 2.6322
Tl 2.5344 5.1965 2.6322
O 0.7459 2.0109 4.3484
O 0.7459 4.9282 4.3484
O 1.5085 3.4696 1.5574
O 1.5868 0.0000 1.6340
O 3.4820 0.0000 3.6305
O 3.5603 3.4696 3.7071
O 4.3229 2.0109 0.9161
O 4.3229 4.9282 0.9161
```

Computed properties:
Space group   P2/m

=====

A plane-wave DFT calculation with PBE-GGA was carried out for a relaxed Nd2PuTlO8 crystal.

```
12
Lattice="4.2160 0.0000 0.0000 0.7626 5.3838 0.0000 0.0065 0.0159 7.7960" Properties=species:S:1:pos:R:3 pbc="T T T"
Nd 4.2169 0.0116 1.9923
Nd 0.7682 5.3881 5.8037
Pu 2.4925 2.6998 3.8980
Tl 2.4893 2.6919 0.0000
O 0.9114 3.8964 3.8978
O 1.0539 4.1002 0.0072
O 2.0199 1.4448 5.4781
O 2.0231 1.4266 2.3068
O 2.9620 3.9730 5.4892
O 2.9652 3.9549 2.3180
O 3.9312 1.2995 7.7888
O 4.0737 1.5033 3.8982
```

Computed properties:
Space group   P-1

=====

A plane-wave DFT calculation with PBE-GGA was carried out for a relaxed Nd2TmPuO8 crystal.

```
12
Lattice="3.9938 0.0000 0.0000 0.5982 5.5159 0.0000 0.0611 0.2492 7.5255" Properties=species:S:1:pos:R:3 pbc="T T T"
Nd 0.0253 0.1346 1.8043
Nd 4.6277 5.6306 5.7212
Tm 2.2960 2.7580 0.0000
Pu 2.3265 2.8826 3.7628
O 0.5271 4.0990 0.0962
O 0.7513 4.0712 3.7923
O 1.9986 1.7368 5.3815
O 2.0058 1.5094 1.9976
O 2.6472 4.2557 5.5279
O 2.6545 4.0283 2.1441
O 3.9017 1.6940 3.7332
O 4.1260 1.6661 7.4293
```

Computed properties:
Space group   P-1

=====

A plane-wave DFT calculation with PBE-GGA was carried out for a relaxed NdPuUO6 crystal.

```
18
Lattice="5.9347 0.0000 0.0000 -2.9674 5.1396 0.0000 0.0000 0.0000 9.2671" Properties=species:S:1:pos:R:3 pbc="T T T"
Nd 0.0000 3.4264 2.3168
Nd 2.9674 1.7132 6.9503
Pu 0.0000 0.0000 0.0000
Pu 0.0000 0.0000 4.6336
U 0.0000 3.4264 6.9503
U 2.9674 1.7132 2.3168
O -0.8545 1.8226 5.8430
O -1.8162 3.4883 8.0577
O 0.8545 1.8226 8.0577
O -0.9617 4.9683 5.8430
O 2.0056 0.1713 1.2095
O 1.1512 1.6513 3.4241
O 1.8162 3.4883 5.8430
O 0.9617 4.9683 8.0577
O 3.9291 0.1713 3.4241
O 2.1129 3.3170 1.2095
O 4.7835 1.6513 1.2095
O 3.8218 3.3170 3.4241
```

Computed properties:
Space group   P-31c

=====

A plane-wave DFT calculation with PBE-GGA was carried out for a relaxed Nd2YPuO8 crystal.

```
12
Lattice="4.0169 0.0000 0.0000 0.6068 5.5275 0.0000 0.0556 0.1981 7.5616" Properties=species:S:1:pos:R:3 pbc="T T T"
Nd 4.0373 0.1134 1.8229
Nd 0.6420 5.6122 5.7386
Y 2.3118 2.7638 0.0000
Pu 2.3396 2.8628 3.7808
O 0.5114 4.1269 0.0794
O 0.7621 4.0478 3.8039
O 2.0061 1.6981 5.3957
O 2.0139 1.4869 2.0445
O 2.6653 4.2387 5.5171
O 2.6732 4.0275 2.1659
O 3.9172 1.6778 3.7576
O 4.1679 1.5987 7.4822
```

Computed properties:
Space group   P-1

=====

A plane-wave DFT calculation with PBE-GGA was carried out for a relaxed NdPuZrO6 crystal.

```
18
Lattice="5.6651 0.0000 0.0000 -2.8325 4.9061 0.0000 0.0000 0.0000 9.9075" Properties=species:S:1:pos:R:3 pbc="T T T"
Nd 0.0000 0.0000 0.0000
Nd 0.0000 0.0000 4.9537
Pu 0.0000 3.2707 2.4769
Pu 2.8325 1.6354 7.4306
Zr 0.0000 3.2707 7.4306
Zr 2.8325 1.6354 2.4769
O -0.9999 1.7469 6.3246
O -1.8196 3.1667 8.5366
O 0.9999 1.7469 8.5366
O -0.8197 4.8985 6.3246
O 2.0128 0.0075 1.3709
O 1.0130 1.7394 3.5828
O 1.8196 3.1667 6.3246
O 0.8197 4.8985 8.5366
O 3.6522 0.0075 3.5828
O 1.8327 3.1591 1.3709
O 4.6521 1.7394 1.3709
O 3.8324 3.1591 3.5828
```

Computed properties:
Space group   P-31c

=====

The evaluated formation energy (no corrections) for the records listed, in turn: -2.633; -2.300; -1.795; -2.394; -2.998; -3.119; -2.991; -3.091 eV per atom.